Entry 1:
The following is a DFT calculation (PBE) of a relaxed Er6PuSe8 crystal.

a = 8.0660 Å, b = 8.0660 Å, c = 8.0660 Å
α = 60.00°, β = 60.00°, γ = 60.00°
Each line ends with the local moment (μB).
Positions (direct):
Se1 0.2581 0.7419 0.7419  0.02
Se2 0.2581 0.2581 0.7419  0.02
Se3 0.2581 0.7419 0.2581  0.02
Se4 0.7419 0.2581 0.2581  0.02
Se5 0.2500 0.2500 0.2500  0.00
Se6 0.7419 0.2581 0.7419  0.02
Se7 0.7419 0.7419 0.2581  0.02
Se8 0.7500 0.7500 0.7500  0.00
Er1 0.5000 0.0000 0.0000  -0.07
Er2 0.5000 0.5000 0.0000  -0.07
Er3 0.0000 0.5000 0.0000  -0.07
Er4 0.0000 0.0000 0.5000  -0.07
Er5 0.0000 0.5000 0.5000  -0.07
Er6 0.5000 0.0000 0.5000  -0.07
Pu1 0.0000 0.0000 0.0000  -5.42

Properties
- D(E_F): 15.9 states/eV/f.u.
- Calculated total energy: -6.384 eV per atom
- Energy relative to the elements, uncorrected: -1.74 eV per atom

Entry 2:
The following is a DFT calculation (PBE) of a relaxed Cs2ScAsI6 crystal.

a = 8.2021 Å, b = 8.2021 Å, c = 8.9559 Å
α = 62.75°, β = 62.75°, γ = 90.00°
Positions (direct):
Cs1 0.2500 0.7500 0.5000
Cs2 0.7500 0.2500 0.5000
I1 0.2480 0.2480 0.0000
I2 0.2885 0.2885 0.4230
I3 0.7520 0.2480 0.0000
I4 0.2480 0.7520 0.0000
I5 0.7520 0.7520 0.0000
I6 0.7115 0.7115 0.5770
As1 0.0000 0.0000 0.0000
Sc1 0.5000 0.5000 0.0000

Properties
- D(E_F): 2.2 states/eV/f.u.
- Calculated total energy: -3.140 eV per atom
- Energy relative to the elements, uncorrected: -0.94 eV per atom

Entry 3:
The following is a DFT calculation (PBE) of a relaxed TiTl2BiC crystal.

a = 5.5325 Å, b = 5.2997 Å, c = 5.5325 Å
α = 90.00°, β = 90.00°, γ = 90.00°
Each line ends with the local moment (μB).
Positions (direct):
Tl1 0.0000 0.0000 0.5000  -0.01
Tl2 0.5000 0.0000 0.0000  -0.02
Ti1 0.0000 0.0000 0.0000  -0.20
C1 0.5000 0.5000 0.5000  0.97
Bi1 0.0000 0.5000 0.0000  0.01

Properties
- D(E_F): 6.5 states/eV/f.u.
- Calculated total energy: -3.561 eV per atom
- Energy of formation: 1.5855 eV per atom

Entry 4:
The following is a DFT calculation (PBE) of a relaxed DyHoCo crystal.

a = 4.6720 Å, b = 4.6720 Å, c = 4.6720 Å
α = 60.00°, β = 60.00°, γ = 60.00°
Positions (direct):
Dy1 0.0000 0.0000 0.0000
Co1 0.2500 0.2500 0.2500
Ho1 0.5000 0.5000 0.5000

Properties
- D(E_F): 3.2 states/eV/f.u.
- Calculated total energy: -5.493 eV per atom
- Energy of formation: -0.0641 eV per atom
- Energy above the lowest structure with this stoichiometry: 76 meV/atom

Entry 5:
The following is a DFT calculation (PBE) of a relaxed Tb3Nd6Ho crystal.

a = 6.4182 Å, b = 11.1245 Å, c = 11.1245 Å
α = 120.81°, β = 90.00°, γ = 90.00°
Positions (direct):
Nd1 0.0509 0.7114 0.6276
Nd2 0.3634 0.5219 0.9414
Nd3 0.6521 0.2795 0.7205
Nd4 0.8634 0.9414 0.5219
Nd5 0.0509 0.3724 0.2886
Nd6 0.5509 0.2886 0.3724
Nd7 0.3783 0.9645 0.0355
Nd8 0.3634 0.0586 0.4781
Nd9 0.5509 0.6276 0.7114
Nd10 0.8783 0.0355 0.9645
Nd11 0.1521 0.7205 0.2795
Nd12 0.8634 0.4781 0.0586
Tb1 0.5823 0.6151 0.3849
Tb2 0.9654 0.7139 0.9447
Tb3 0.4654 0.9447 0.7139
Tb4 0.0823 0.3849 0.6151
Tb5 0.4654 0.2861 0.0553
Tb6 0.9654 0.0553 0.2861
Ho1 0.6135 0.8057 0.1943
Ho2 0.1135 0.1943 0.8057

Properties
- D(E_F): 13.6 states/eV/f.u.
- Calculated total energy: -4.568 eV per atom
- Energy of formation: 0.1397 eV per atom
- Energy above the lowest structure with this stoichiometry: 18 meV/atom

Entry 6:
The following is a DFT calculation (PBE) of a relaxed Sr2Cd5Pd4 crystal.

a = 5.8363 Å, b = 7.2267 Å, c = 7.2282 Å
α = 81.77°, β = 66.19°, γ = 66.18°
Positions (direct):
Pd1 0.2408 0.0870 0.4313
Pd2 0.7591 0.5688 0.9130
Pd3 0.2409 0.4312 0.0870
Pd4 0.7592 0.9130 0.5687
Cd1 0.7456 0.7877 0.2123
Cd2 0.0000 0.5000 0.5000
Cd3 0.2544 0.2123 0.7877
Cd4 0.2543 0.7877 0.2123
Cd5 0.7457 0.2123 0.7877
Sr1 0.2691 0.7309 0.7310
Sr2 0.7309 0.2691 0.2690

Properties
- D(E_F): 4.3 states/eV/f.u.
- Calculated total energy: -3.024 eV per atom
- Energy of formation: -0.4135 eV per atom

Entry 7:
The following is a DFT calculation (PBE) of a relaxed GeSb2H crystal.

a = 5.8428 Å, b = 5.8428 Å, c = 6.8328 Å
α = 64.69°, β = 64.69°, γ = 90.00°
Positions (direct):
Sb1 0.8750 0.8066 0.7500
Sb2 0.5566 0.1250 0.2500
Sb3 0.3750 0.4434 0.7500
Sb4 0.1934 0.6250 0.2500
Ge1 0.7500 0.2500 0.5000
Ge2 0.0000 0.0000 0.0000
H1 0.5000 0.5000 0.0000
H2 0.2500 0.7500 0.5000

Properties
- D(E_F): 1.2 states/eV/f.u.
- Calculated total energy: -3.641 eV per atom
- Energy above the lowest structure with this stoichiometry: 0 meV/atom

Entry 8:
The following is a DFT calculation (PBE) of a relaxed KSi3C crystal.

a = 5.4901 Å, b = 5.4901 Å, c = 5.4901 Å
α = 90.00°, β = 90.00°, γ = 90.00°
Each line ends with the local moment (μB).
Positions (direct):
Si1 0.0000 0.5000 0.0000  -0.15
Si2 0.5000 0.0000 0.0000  -0.15
Si3 0.0000 0.0000 0.5000  -0.14
K1 0.0000 0.0000 0.0000  -0.07
C1 0.5000 0.5000 0.5000  0.83

Properties
- D(E_F): 4.9 states/eV/f.u.
- Calculated total energy: -1.935 eV per atom
- Energy relative to the elements, uncorrected: 3.38 eV per atom
- Energy above the lowest structure with this stoichiometry: 2159 meV/atom

Entry 9:
The following is a DFT calculation (PBE) of a relaxed Li3Cd6Rh crystal.

a = 4.7990 Å, b = 7.8648 Å, c = 10.5587 Å
α = 109.38°, β = 90.00°, γ = 90.00°
Positions (direct):
Cd1 0.7500 0.4267 0.2905
Cd2 0.7500 0.9890 0.1632
Cd3 0.7500 0.2267 0.4827
Cd4 0.7500 0.7841 0.8542
Cd5 0.7500 0.5941 0.0726
Cd6 0.2500 0.0036 0.3394
Cd7 0.7500 0.9964 0.6606
Cd8 0.2500 0.2159 0.1458
Cd9 0.2500 0.4059 0.9274
Cd10 0.2500 0.0110 0.8368
Cd11 0.2500 0.5733 0.7095
Cd12 0.2500 0.7733 0.5173
Li1 0.2500 0.1912 0.6216
Li2 0.7500 0.8088 0.3784
Li3 0.7500 0.2004 0.9759
Li4 0.2500 0.7996 0.0241
Li5 0.2500 0.5992 0.2365
Li6 0.7500 0.4008 0.7635
Rh1 0.7500 0.6042 0.5692
Rh2 0.2500 0.3958 0.4308

Properties
- D(E_F): 3.9 states/eV/f.u.
- Calculated total energy: -2.055 eV per atom
- Energy of formation: -0.1966 eV per atom